A geometry-optimized KMgSe structure, computed with GGA-PBE.

Unit cell a=7.715 b=3.941 c=7.720 alpha=90.00 beta=120.09 gamma=90.00
Fractional coordinates of all 6 atoms:
K 0.344 0.500 0.280
K 0.116 0.500 0.666
Mg 0.731 0.000 0.116
Mg 0.729 0.500 0.818
Se 0.461 0.000 0.684
Se 0.998 0.000 0.952

The calculation puts the energy relative to the elements, uncorrected at -0.7847 eV/atom. Its density is 2.3 g cm⁻³. The value obtained for the total magnetization is 0.00 μB/atom. Its crystal system is monoclinic.